VASP calculation (GGA-PBE) on LaTiZn2N4 after structural relaxation.

Unit cell a=5.379 b=5.379 c=7.439 alpha=90.00 beta=90.00 gamma=90.00
Space group I-42m (No. 121)
Inequivalent atoms, fractional coordinates:
La: 0.000 0.000 0.000 x2
Ti: 0.000 0.000 0.500 x2
Zn: 0.000 0.500 0.250 x4
N: 0.209 0.209 0.353 x8

Calculated values
E_form (uncorrected), eV/atom: -0.616
M_tot, μB per atom: 0.000



VASP calculation (GGA-PBE) on La2ZrTiN after structural relaxation.

Unit cell a=5.317 b=5.317 c=4.010 alpha=90.00 beta=90.00 gamma=90.00
Space group P4/mmm (No. 123)
Inequivalent atoms, fractional coordinates:
La: 0.000 0.500 0.000 x2
Zr: 0.000 0.000 0.500 x1
Ti: 0.500 0.500 0.500 x1
N: 0.500 0.500 0.000 x1

Calculated values
E_form (uncorrected), eV/atom: -0.464
M_tot, μB per atom: 0.000



VASP calculation (GGA-PBE) on La3Tl2N after structural relaxation.

Unit cell a=5.114 b=16.859 c=3.791 alpha=90.00 beta=90.00 gamma=90.00
Space group Cmmm (No. 65)
Inequivalent atoms, fractional coordinates:
La: 0.000 0.000 0.000 x2
La: 0.000 0.393 0.500 x4
Tl: 0.000 0.196 0.000 x4
N: 0.000 0.500 0.000 x2

Calculated values
E_form (uncorrected), eV/atom: -0.710
M_tot, μB per atom: 0.000



no.,D(E_F) (states/eV/atom)
1,0.707
2,0.864
3,0.707